1.
# Rb2CaCd PBE-GGA relaxed
# Total moment, μB/cell: 0.00
# Formation energy from the elements, eV/f.u.: 0.7
data_Rb2CaCd
_chemical_formula_sum 'Rb4 Ca2 Cd2'
_cell_length_a 12.314
_cell_length_b 12.314
_cell_length_c 9.294
_cell_angle_alpha 48.51
_cell_angle_beta 48.51
_cell_angle_gamma 90.00
_symmetry_space_group_name_H-M 'P 1'
_symmetry_Int_Tables_number 1
_symmetry_space_group_name_Hall 'P 1'
loop_
_atom_site_label
_atom_site_type_symbol
_atom_site_fract_x
_atom_site_fract_y
_atom_site_fract_z
_atom_site_occupancy
Cd1 Cd 0.000 0.000 0.000 1
Rb1 Rb 0.017 0.625 0.250 1
Ca1 Ca 0.500 0.500 0.000 1
Rb2 Rb 0.375 0.267 0.750 1
Ca2 Ca 0.250 0.750 0.500 1
Rb3 Rb 0.875 0.983 0.750 1
Rb4 Rb 0.733 0.125 0.250 1
Cd2 Cd 0.750 0.250 0.500 1

***

2.
# InSi2Mo PBE-GGA relaxed
# Total moment, μB/cell: 0.00
# Formation energy (no corrections), kJ/mol of formula units: 71
data_InSi2Mo
_chemical_formula_sum 'In1 Si2 Mo1'
_cell_length_a 3.338
_cell_length_b 3.338
_cell_length_c 6.041
_cell_angle_alpha 90.00
_cell_angle_beta 90.00
_cell_angle_gamma 90.00
_symmetry_space_group_name_H-M 'P 1'
_symmetry_Int_Tables_number 1
_symmetry_space_group_name_Hall 'P 1'
loop_
_atom_site_label
_atom_site_type_symbol
_atom_site_fract_x
_atom_site_fract_y
_atom_site_fract_z
_atom_site_occupancy
Si1 Si 0.500 0.500 0.212 1
Si2 Si 0.000 0.000 0.979 1
Mo1 Mo 0.500 0.500 0.814 1
In1 In 0.000 0.000 0.495 1

***

3.
# La4HoTm5 PBE-GGA relaxed
# Total moment, μB/cell: 0.00
# Formation energy from the elements, eV/f.u.: 2.3
data_La4HoTm5
_chemical_formula_sum 'La4 Ho1 Tm5'
_cell_length_a 5.944
_cell_length_b 8.186
_cell_length_c 8.186
_cell_angle_alpha 82.42
_cell_angle_beta 68.71
_cell_angle_gamma 68.71
_symmetry_space_group_name_H-M 'P 1'
_symmetry_Int_Tables_number 1
_symmetry_space_group_name_Hall 'P 1'
loop_
_atom_site_label
_atom_site_type_symbol
_atom_site_fract_x
_atom_site_fract_y
_atom_site_fract_z
_atom_site_occupancy
Tm1 Tm 0.137 0.000 0.623 1
Ho1 Ho 0.208 0.000 0.000 1
Tm2 Tm 0.137 0.623 0.000 1
La1 La 0.454 0.678 0.322 1
Tm3 Tm 0.761 0.377 0.000 1
La2 La 0.775 0.678 0.678 1
Tm4 Tm 0.761 0.000 0.377 1
La3 La 0.454 0.322 0.678 1
Tm5 Tm 0.692 0.000 0.000 1
La4 La 0.132 0.322 0.322 1

***

4.
# PrBN2 PBE-GGA relaxed
# Total moment, μB/cell: 0.00
# Formation energy (no corrections), kJ/mol of formula units: -426
data_PrBN2
_chemical_formula_sum 'Pr3 B3 N6'
_cell_length_a 5.483
_cell_length_b 5.483
_cell_length_c 6.301
_cell_angle_alpha 90.00
_cell_angle_beta 90.00
_cell_angle_gamma 120.00
_symmetry_space_group_name_H-M 'P 1'
_symmetry_Int_Tables_number 1
_symmetry_space_group_name_Hall 'P 1'
loop_
_atom_site_label
_atom_site_type_symbol
_atom_site_fract_x
_atom_site_fract_y
_atom_site_fract_z
_atom_site_occupancy
Pr1 Pr 0.359 0.359 0.000 1
N1 N 0.250 0.871 0.067 1
Pr2 Pr 0.000 0.641 0.667 1
N2 N 0.379 0.129 0.600 1
N3 N 0.129 0.379 0.400 1
Pr3 Pr 0.641 0.000 0.333 1
N4 N 0.621 0.750 0.734 1
B1 B 0.000 0.733 0.167 1
N5 N 0.750 0.621 0.266 1
B2 B 0.733 0.000 0.833 1
N6 N 0.871 0.250 0.933 1
B3 B 0.267 0.267 0.500 1

***

5.
# VCrTcNi PBE-GGA relaxed
# Total moment, μB/cell: 2.87
# Formation energy from the elements, eV/f.u.: 0.0
data_VCrTcNi
_chemical_formula_sum 'V1 Cr1 Tc1 Ni1'
_cell_length_a 4.185
_cell_length_b 4.185
_cell_length_c 4.185
_cell_angle_alpha 60.00
_cell_angle_beta 60.00
_cell_angle_gamma 60.00
_symmetry_space_group_name_H-M 'P 1'
_symmetry_Int_Tables_number 1
_symmetry_space_group_name_Hall 'P 1'
loop_
_atom_site_label
_atom_site_type_symbol
_atom_site_fract_x
_atom_site_fract_y
_atom_site_fract_z
_atom_site_occupancy
Tc1 Tc 0.250 0.250 0.250 1
Cr1 Cr 0.000 0.000 0.000 1
V1 V 0.500 0.500 0.500 1
Ni1 Ni 0.750 0.750 0.750 1

***

6.
# Mg2TeMo PBE-GGA relaxed
# Total moment, μB/cell: 0.00
# Formation energy (no corrections), kJ/mol of formula units: 64
data_Mg2TeMo
_chemical_formula_sum 'Mg2 Te1 Mo1'
_cell_length_a 5.209
_cell_length_b 5.209
_cell_length_c 4.886
_cell_angle_alpha 69.99
_cell_angle_beta 69.99
_cell_angle_gamma 40.35
_symmetry_space_group_name_H-M 'P 1'
_symmetry_Int_Tables_number 1
_symmetry_space_group_name_Hall 'P 1'
loop_
_atom_site_label
_atom_site_type_symbol
_atom_site_fract_x
_atom_site_fract_y
_atom_site_fract_z
_atom_site_occupancy
Mg1 Mg 0.245 0.245 0.223 1
Mo1 Mo 0.489 0.489 0.563 1
Te1 Te 0.764 0.764 0.679 1
Mg2 Mg 0.002 0.002 0.035 1

***

7.
# PaTaAlMo PBE-GGA relaxed
# Total moment, μB/cell: 0.00
# Formation energy from the elements, eV/f.u.: -0.1
data_PaTaAlMo
_chemical_formula_sum 'Pa1 Ta1 Al1 Mo1'
_cell_length_a 4.697
_cell_length_b 4.697
_cell_length_c 4.697
_cell_angle_alpha 60.00
_cell_angle_beta 60.00
_cell_angle_gamma 60.00
_symmetry_space_group_name_H-M 'P 1'
_symmetry_Int_Tables_number 1
_symmetry_space_group_name_Hall 'P 1'
loop_
_atom_site_label
_atom_site_type_symbol
_atom_site_fract_x
_atom_site_fract_y
_atom_site_fract_z
_atom_site_occupancy
Ta1 Ta 0.000 0.000 0.000 1
Al1 Al 0.750 0.750 0.750 1
Mo1 Mo 0.500 0.500 0.500 1
Pa1 Pa 0.250 0.250 0.250 1

***

Which of these has the highest total moment?
VCrTcNi

***

What did the fourth record say?
# PrBN2 PBE-GGA relaxed
# Total moment, μB/cell: 0.00
# Formation energy (no corrections), kJ/mol of formula units: -426
data_PrBN2
_chemical_formula_sum 'Pr3 B3 N6'
_cell_length_a 5.483
_cell_length_b 5.483
_cell_length_c 6.301
_cell_angle_alpha 90.00
_cell_angle_beta 90.00
_cell_angle_gamma 120.00
_symmetry_space_group_name_H-M 'P 1'
_symmetry_Int_Tables_number 1
_symmetry_space_group_name_Hall 'P 1'
loop_
_atom_site_label
_atom_site_type_symbol
_atom_site_fract_x
_atom_site_fract_y
_atom_site_fract_z
_atom_site_occupancy
Pr1 Pr 0.359 0.359 0.000 1
N1 N 0.250 0.871 0.067 1
Pr2 Pr 0.000 0.641 0.667 1
N2 N 0.379 0.129 0.600 1
N3 N 0.129 0.379 0.400 1
Pr3 Pr 0.641 0.000 0.333 1
N4 N 0.621 0.750 0.734 1
B1 B 0.000 0.733 0.167 1
N5 N 0.750 0.621 0.266 1
B2 B 0.733 0.000 0.833 1
N6 N 0.871 0.250 0.933 1
B3 B 0.267 0.267 0.500 1

***

What is the total moment in the fifth record?
2.87 μB/cell